Entry 1:
TcS3O: relaxed, PBE.

Cell lengths 4.1055, 4.1055, 4.1055 Å; angles 90.00, 90.00, 90.00 degrees
Closest atoms and distances in Å follow each position.
Sites, in units of the cell vectors:
S 0.0000 0.5000 0.0000  2 O 2.05
S 0.0000 0.0000 0.5000  2 O 2.05
S 0.5000 0.0000 0.0000  2 O 2.05
Tc 0.5000 0.5000 0.5000  12 S 2.90
O 0.0000 0.0000 0.0000  6 S 2.05

The space-group type is Pm-3m. For the energy above the most stable polymorph in this dataset, the calculation gives 199 meV/atom.

=====

Entry 2:
Tb2PmTm3Sb6: relaxed, PBE.

Cell lengths 4.3859, 8.7672, 9.8014 Å; angles 102.82, 102.93, 90.00 degrees
Closest atoms and distances in Å follow each position.
Sites, in units of the cell vectors:
Tb 0.8329 0.6664 0.6658  6 Sb 3.11-3.12
Tb 0.1671 0.3336 0.3342  6 Sb 3.11-3.12
Pm 0.5000 0.0000 0.0000  6 Sb 3.15
Tm 0.5000 0.5000 0.0000  6 Sb 3.06-3.08
Tm 0.8340 0.1673 0.6680  6 Sb 3.06-3.08
Tm 0.1660 0.8327 0.3320  6 Sb 3.06-3.08
Sb 0.3307 0.9185 0.6613  3 Tm 3.06-3.08, 2 Tb 3.12, 1 Pm 3.15
Sb 0.6656 0.5857 0.3312  3 Tm 3.08, 3 Tb 3.11-3.12
Sb 0.6693 0.0815 0.3387  3 Tm 3.06-3.08, 2 Tb 3.12, 1 Pm 3.15
Sb 0.9993 0.2568 0.9987  3 Tm 3.06-3.08, 1 Tb 3.12, 2 Pm 3.15
Sb 0.0007 0.7432 0.0013  3 Tm 3.06-3.08, 1 Tb 3.12, 2 Pm 3.15
Sb 0.3344 0.4143 0.6688  3 Tm 3.08, 3 Tb 3.11-3.12

The space-group type is C2/m.

=====

no.,ΔE_f (raw) (kcal/mol of atoms),total magnetization (μB per atom)
1,23.627,0.0000
2,-25.646,0.0000